Compound: SrNpInO6
Source: the Alexandria database
Functional: GGA-PBE
Structure: relaxed

```
data_SrNpInO6
_cell_length_a 5.6030
_cell_length_b 5.6030
_cell_length_c 10.7436
_cell_angle_alpha 90.00
_cell_angle_beta 90.00
_cell_angle_gamma 120.00
_symmetry_space_group_name_H-M 'P -3 1 c'
_symmetry_Int_Tables_number 163
_symmetry_space_group_name_Hall '-P 3 2c'
loop_
_atom_site_label
_atom_site_fract_x
_atom_site_fract_y
_atom_site_fract_z
Sr1 0.0000 0.0000 0.0000
Np1 0.3333 0.6667 0.2500
In1 0.3333 0.6667 0.7500
O1 0.0221 0.3754 0.1441
```

Values from the calculation:
uncorrected formation energy = -2377 meV/atom

***

Compound: LiMg6Cd2
Source: the Alexandria database
Functional: GGA-PBE
Structure: relaxed

```
data_LiMg6Cd2
_cell_length_a 15.121
_cell_length_b 6.864
_cell_length_c 4.603
_cell_angle_alpha 90.00
_cell_angle_beta 106.96
_cell_angle_gamma 90.00
_symmetry_space_group_name_H-M 'C 1 2/m 1'
_symmetry_Int_Tables_number 12
loop_
_symmetry_equiv_pos_as_xyz
'x,y,z'
'-x,-y,-z'
'-x,y,-z'
'x,-y,z'
'x+1/2,y+1/2,z'
'-x+1/2,-y+1/2,-z'
'-x+1/2,y+1/2,-z'
'x+1/2,-y+1/2,z'
loop_
_atom_site_label
_atom_site_fract_x
_atom_site_fract_y
_atom_site_fract_z
Li1 0.000 0.000 0.000
Mg1 0.000 0.253 0.500
Mg2 0.166 0.239 0.166
Cd1 0.165 0.500 0.666
```

Values from the calculation:
ΔE to the lowest computed polymorph = 159 meV/atom
DOS at the Fermi energy = 0.55 states/eV/atom
energy relative to the elements = 0.110 eV per atom